PBE Sr2Ca2In, relaxed; M_tot = 0.0 μB/cell; E_tot = -20.69 eV for the cell shown; distance to the lowest polymorph of the same formula = 0 meV per atom; mass density = 2.9 g/cm3; ΔH_f (0 K) = -0.05 eV/atom
1.0
-1.859 -2.278 -7.805
8.045 -1.674 -1.427
-0.875 -5.832 1.911
Ca In Sr
4 2 4
Cartesian
0.001 -1.734 -5.292 Ca
6.185 -2.219 -3.941 Ca
2.532 -0.928 -1.673 Ca
3.654 -3.025 -7.559 Ca
3.093 -1.976 -4.616 In
0.000 0.000 0.000 In
0.639 -5.337 -5.941 Sr
4.938 -5.836 -5.495 Sr
0.374 -3.949 -1.826 Sr
4.672 -4.448 -1.381 Sr